A plane-wave DFT calculation with GGA-PBE was carried out for a geometry-optimized KRhAu2 structure.

Lattice parameters (Å, degrees): 5.2545 5.2545 6.1694 98.33 98.33 31.18
Closest atoms and distances in Å follow each position.
Sites, in units of the cell vectors:
K: 0.0000 0.0000 0.0000  2 K 2.82, 1 Au 3.10
Rh: 0.2359 0.2359 0.6406  5 Au 2.75-2.85, 2 Rh 2.82
Au: 0.4989 0.4989 0.5298  3 Rh 2.78-2.85, 4 Au 2.82-3.01
Au: 0.7650 0.7650 0.2685  2 Rh 2.75, 4 Au 2.82-3.01

Output
For the energy above the most stable polymorph in this dataset, the calculation gives 0.113 eV/atom. The formation energy is 0.94 eV per formula unit. Its magnetic moment is 0.82 μB/cell. The mass density is 10.21 g/cm³. As for the space group: Cm.